No. 1
PBE Th2Ga2Re2C, relaxed; formation enthalpy at 0 K = -2.6 eV/f.u.; SG = C2/m
1.0
11.132 0.000 0.000
0.000 4.033 0.000
-4.222 0.000 5.986
Th Ga Re C
4 4 4 2
Direct
0.069 0.000 0.291
0.431 0.500 0.709
0.569 0.500 0.291
0.931 0.000 0.709
0.140 0.500 0.668
0.360 0.000 0.332
0.640 0.000 0.668
0.860 0.500 0.332
0.202 0.500 0.071
0.298 0.000 0.929
0.702 0.000 0.071
0.798 0.500 0.929
0.000 0.500 0.000
0.500 0.000 0.000

=====

No. 2
PBE KMgIN2, relaxed; formation energy (no corrections) = 0.63 eV per atom; SG = P4/mmm
1.0
4.554 0.000 0.000
0.000 4.554 0.000
0.000 0.000 6.051
K Mg I N
1 1 1 2
Direct
0.000 0.000 0.000
0.500 0.500 0.500
0.500 0.500 0.000
0.000 0.500 0.500
0.500 0.000 0.500

=====

No. 3
PBE Ta2ZnCo, relaxed; formation enthalpy at 0 K = 0.1 eV/f.u.; SG = Cmmm
1.0
5.570 0.000 0.000
0.000 7.761 0.000
0.000 0.000 2.797
Ta Zn Co
4 2 2
Direct
0.250 0.250 0.000
0.250 0.750 0.000
0.750 0.250 0.000
0.750 0.750 0.000
0.000 0.000 0.500
0.500 0.500 0.500
0.000 0.500 0.500
0.500 0.000 0.500

=====

| no. | total energy (eV per cell) |
| --- | --- |
| 1 | -115.30 |
| 2 | -17.73 |
| 3 | -63.99 |